Entry P
The following is a DFT calculation (GGA-PBE) of a relaxed structure of ErScZnPd.

Calculated values
N(E_F) ... 3.0 states/eV/cell
Magnetization ... 0.00 μB per atom
Density ... 8.00 g/cm³
SG ... P4mm (99)

Geometry as extended XYZ:
```
4
Lattice="-1.304 0.074 3.170 -2.712 -1.802 -1.074 3.249 -5.764 1.470" Properties=species:S:1:pos:R:3 pbc="T T T"
Er 2.796 -4.962 1.265
Sc 1.156 -2.051 0.523
Zn -0.108 -4.235 1.908
Pd -1.596 -1.594 1.234
```

Entry Q
The following is a DFT calculation (GGA-PBE) of a relaxed structure of ErScZnPd.

Calculated values
N(E_F) ... 2.6 states/eV/cell
Magnetization ... 0.00 μB per atom
Density ... 7.94 g/cm³
SG ... F-43m (216)

Geometry as extended XYZ:
```
4
Lattice="-3.664 1.986 2.467 -4.350 -2.129 0.007 -1.647 -2.131 4.025" Properties=species:S:1:pos:R:3 pbc="T T T"
Sc -2.415 -0.569 1.625
Zn 0.000 0.000 0.000
Pd -4.831 -1.137 3.249
Er -7.246 -1.706 4.874
```

Which of them is the most stable? Correct choice: entry P.

Entry P
The following is a DFT calculation (GGA-PBE) of a relaxed structure of ErPdSe2.

Calculated values
N(E_F) ... 4.6 states/eV/cell
Magnetization ... 0.00 μB per atom
Density ... 8.14 g/cm³
SG ... R3m (160)

Geometry as extended XYZ:
```
4
Lattice="-3.606 -1.369 -1.034 -1.190 -3.611 1.220 -4.093 0.939 5.320" Properties=species:S:1:pos:R:3 pbc="T T T"
Er -4.452 -2.013 2.768
Pd -7.273 -2.399 5.407
Se -3.514 0.336 4.100
Se -2.188 -1.046 1.304
```

Entry Q
The following is a DFT calculation (GGA-PBE) of a relaxed structure of ErPdSe2.

Calculated values
N(E_F) ... 3.2 states/eV/cell
Magnetization ... 0.00 μB per atom
Density ... 6.99 g/cm³
SG ... R-3m (166)

Geometry as extended XYZ:
```
4
Lattice="-3.014 2.115 0.896 -2.614 0.784 -2.629 -6.028 -5.841 1.520" Properties=species:S:1:pos:R:3 pbc="T T T"
Se -4.636 -3.558 0.817
Se -7.020 0.615 -1.030
Pd -5.828 -1.471 -0.106
Er 0.000 0.000 0.000
```

Which of them is the most stable? Correct choice: entry P.

Entry P
The following is a DFT calculation (GGA-PBE) of a relaxed structure of Er2PdSe.

Calculated values
N(E_F) ... 2.1 states/eV/cell
Magnetization ... 0.00 μB per atom
Density ... 9.01 g/cm³
SG ... R-3m (166)

Geometry as extended XYZ:
```
4
Lattice="3.940 0.000 0.000 1.970 3.412 0.000 1.970 1.137 7.124" Properties=species:S:1:pos:R:3 pbc="T T T"
Se 3.940 2.275 3.562
Pd 0.000 0.000 0.000
Er 1.970 1.137 1.679
Er 5.910 3.412 5.446
```

Entry Q
The following is a DFT calculation (GGA-PBE) of a relaxed structure of Er2PdSe.

Calculated values
N(E_F) ... 1.3 states/eV/cell
Magnetization ... 0.00 μB per atom
Density ... 8.86 g/cm³
SG ... R3m (160)

Geometry as extended XYZ:
```
4
Lattice="3.975 0.000 0.000 1.987 3.442 0.000 1.987 1.147 7.125" Properties=species:S:1:pos:R:3 pbc="T T T"
Er 1.987 1.147 5.508
Er 1.987 1.147 1.603
Pd 5.962 3.442 7.120
Se 3.975 2.295 3.580
```

Which of them is the most stable? Correct choice: entry P.

Entry P
The following is a DFT calculation (GGA-PBE) of a relaxed structure of ErSi4Pd6.

Calculated values
N(E_F) ... 4.3 states/eV/cell
Magnetization ... 0.00 μB per atom
Density ... 8.91 g/cm³
SG ... P-6m2 (187)

Geometry as extended XYZ:
```
11
Lattice="3.849 0.000 0.000 0.000 6.204 -3.582 0.000 0.000 7.164" Properties=species:S:1:pos:R:3 pbc="T T T"
Er 0.000 0.000 0.000
Si 1.925 5.015 1.523
Si 1.925 2.378 0.000
Si 1.925 5.015 -1.523
Si 0.000 2.068 3.582
Pd 0.000 3.316 -1.421
Pd 1.925 3.756 3.582
Pd 0.000 3.316 1.421
Pd 0.000 5.777 0.000
Pd 1.925 1.224 5.044
Pd 1.925 1.224 2.120
```

Entry Q
The following is a DFT calculation (GGA-PBE) of a relaxed structure of ErSi4Pd6.

Calculated values
N(E_F) ... 4.1 states/eV/cell
Magnetization ... 0.00 μB per atom
Density ... 8.02 g/cm³
SG ... I-42m (121)

Geometry as extended XYZ:
```
11
Lattice="-3.712 4.718 -2.062 -2.445 -3.693 4.547 5.228 1.735 3.155" Properties=species:S:1:pos:R:3 pbc="T T T"
Er 0.000 0.000 0.000
Si 2.587 0.437 2.443
Si -0.949 1.895 2.161
Si -0.612 -1.827 3.023
Si 0.828 0.296 5.715
Pd 0.634 -2.047 5.099
Pd 2.902 -0.442 4.688
Pd -2.011 2.899 0.218
Pd 0.758 3.227 0.547
Pd 0.329 0.391 3.338
Pd -3.078 0.512 1.243
```

Which of them is the most stable? Correct choice: entry P.

Entry P
The following is a DFT calculation (GGA-PBE) of a relaxed structure of Er2Si3Pd2.

Calculated values
N(E_F) ... 2.0 states/eV/cell
Magnetization ... 0.00 μB per atom
Density ... 8.50 g/cm³
SG ... C2/m (12)

Geometry as extended XYZ:
```
7
Lattice="4.194 0.000 0.000 -2.097 5.110 -0.166 0.000 -2.559 5.838" Properties=species:S:1:pos:R:3 pbc="T T T"
Er 2.097 3.012 1.180
Er 0.000 -0.461 4.492
Si 2.097 0.000 0.000
Si 2.097 -0.115 2.528
Si 0.000 2.666 3.144
Pd 2.097 1.721 4.276
Pd 0.000 0.830 1.396
```

Entry Q
The following is a DFT calculation (GGA-PBE) of a relaxed structure of Er2Si3Pd2.

Calculated values
N(E_F) ... 6.2 states/eV/cell
Magnetization ... 0.00 μB per atom
Density ... 8.37 g/cm³
SG ... Cmcm (63)

Geometry as extended XYZ:
```
14
Lattice="0.929 -2.935 -2.738 1.178 -4.425 5.143 -8.935 -1.025 1.166" Properties=species:S:1:pos:R:3 pbc="T T T"
Er -2.316 -1.874 1.223
Er -4.512 -6.510 2.348
Er -6.789 -4.794 -0.264
Er -0.039 -3.590 3.835
Si -2.920 -4.437 3.766
Si -3.908 -3.947 -0.195
Si -0.044 -3.654 0.803
Si -6.784 -4.730 2.768
Si -6.367 -6.296 4.589
Si -0.461 -2.088 -1.018
Pd -1.652 -6.632 3.449
Pd -5.176 -1.752 0.122
Pd -4.700 -3.539 2.199
Pd -2.128 -4.845 1.372
```

Which of them is the most stable? Correct choice: entry Q.

Entry P
The following is a DFT calculation (GGA-PBE) of a relaxed structure of ErSi2Pd7.

Calculated values
N(E_F) ... 3.7 states/eV/cell
Magnetization ... 0.00 μB per atom
Density ... 9.84 g/cm³
SG ... I4/mmm (139)

Geometry as extended XYZ:
```
10
Lattice="3.962 0.000 -0.762 -0.147 3.959 -0.762 -0.047 -0.049 10.432" Properties=species:S:1:pos:R:3 pbc="T T T"
Er 0.000 0.000 0.000
Si 2.560 2.656 2.626
Si 1.209 1.254 6.282
Pd 0.325 2.393 1.689
Pd 1.389 3.497 7.218
Pd 2.379 0.413 1.689
Pd 1.908 1.980 -0.762
Pd 2.911 0.965 4.454
Pd 3.443 1.517 7.218
Pd 0.857 2.945 4.454
```

Entry Q
The following is a DFT calculation (GGA-PBE) of a relaxed structure of ErSi2Pd7.

Calculated values
N(E_F) ... 4.5 states/eV/cell
Magnetization ... 0.00 μB per atom
Density ... 8.44 g/cm³
SG ... Cmmm (65)

Geometry as extended XYZ:
```
10
Lattice="-4.005 1.888 -0.500 -2.940 -6.228 0.031 0.653 3.018 6.156" Properties=species:S:1:pos:R:3 pbc="T T T"
Er 0.000 0.000 0.000
Si -3.858 -2.495 1.629
Si -2.433 1.173 4.058
Pd -2.071 -3.993 1.512
Pd -0.215 0.783 4.675
Pd -1.979 1.514 1.714
Pd -4.312 -2.836 3.973
Pd -2.898 -0.851 0.147
Pd -3.393 -0.471 5.539
Pd -3.146 -0.661 2.843
```

Which of them is the most stable? Correct choice: entry P.